Entry from Alexandria via LeMat-Bulk: a relaxed structure of Zr2IrPd (PBE-GGA).

Output
Energy of formation from the pure elements = -307 meV per atom
Size of the total moment = 0.00 μB/atom

Unit cell a=7.362 b=7.362 c=5.802 alpha=90.00 beta=90.00 gamma=90.00
Space group I-42d (No. 122)
One atom of each set of equivalent atoms:
Zr1 0.240 0.250 0.125 [8 per cell]
Ir1 0.000 0.000 0.000 [4 per cell]
Pd1 0.000 0.000 0.500 [4 per cell]